1.
The following is a DFT calculation (PBE) of an optimized crystal structure of Er5Ag2Rh2.

Summary:
**Symmetry**: Cmce
**Mass density**: 9.78 g/cm3
**E**: -5.37 eV/atom
**Volume**: 427 Å³ per cell
**Formation enthalpy at 0 K**: -567 meV/atom

a b c (Å): 7.499 7.333 8.592
angles (deg): 115.26 90.00 90.00
Sites, in units of the cell vectors:
Ag 0.500 0.712 0.425
Er 0.000 0.000 0.000
Ag 0.000 0.212 0.425
Er 0.172 0.456 0.252
Er 0.672 0.296 0.252
Rh 0.635 0.866 0.000
Er 0.828 0.796 0.252
Rh 0.865 0.366 0.000
Rh 0.135 0.634 0.000
Er 0.672 0.044 0.748
Er 0.172 0.204 0.748
Ag 0.000 0.788 0.575
Ag 0.500 0.288 0.575
Er 0.828 0.544 0.748
Er 0.500 0.500 0.000
Rh 0.365 0.134 0.000
Er 0.328 0.956 0.252
Er 0.328 0.704 0.748


2.
The following is a DFT calculation (PBE) of an optimized crystal structure of ScTlAg2.

Summary:
**Symmetry**: Pmmm
**Mass density**: 8.98 g/cm3
**E**: -3.65 eV/atom
**Volume**: 86 Å³ per cell
**Formation enthalpy at 0 K**: -52 meV/atom

a b c (Å): 4.864 3.062 5.773
angles (deg): 90.02 90.00 90.00
Last column: magnetic moment on the atom in μB.
Sites, in units of the cell vectors:
Tl 0.500 0.750 0.750  0.01
Ag 0.000 0.749 0.016  0.01
Ag 0.000 0.751 0.484  0.01
Sc 0.500 0.250 0.250  0.27


3.
The following is a DFT calculation (PBE) of an optimized crystal structure of Mg3InHg2.

Summary:
**Symmetry**: Cmmm
**Mass density**: 7.38 g/cm3
**E**: -1.52 eV/atom
**Volume**: 133 Å³ per cell
**Polymorph energy (0 for the lowest one)**: 4 meV per atom
**Formation enthalpy at 0 K**: -169 meV/atom

a b c (Å): 3.665 4.995 7.658
angles (deg): 109.03 90.00 90.00
Sites, in units of the cell vectors:
Mg 0.500 0.827 0.654
Mg 0.500 0.500 0.000
Hg 0.000 0.337 0.674
In 0.000 0.000 0.000
Hg 0.000 0.663 0.326
Mg 0.500 0.173 0.346


4.
The following is a DFT calculation (PBE) of an optimized crystal structure of Nd8AsIr3Br4.

Summary:
**Symmetry**: R-3m
**Mass density**: 7.42 g/cm3
**E_form (uncorrected)**: -1141 meV per atom
**E**: -5.90 eV/atom
**Volume**: 476 Å³ per cell

a b c (Å): 8.459 9.098 8.459
angles (deg): 117.73 120.00 90.00
Sites, in units of the cell vectors:
Nd 0.240 0.698 0.958
As 0.000 0.500 0.000
Br 0.500 0.000 0.000
Nd 0.732 0.696 0.464
Nd 0.268 0.304 0.536
Br 0.500 0.000 0.500
Br 0.000 0.000 0.500
Nd 0.282 0.302 0.042
Ir 0.500 0.500 0.000
Nd 0.760 0.302 0.042
Br 0.000 0.000 0.000
Nd 0.240 0.698 0.480
Nd 0.718 0.698 0.958
Ir 0.500 0.500 0.500
Ir 0.000 0.500 0.500
Nd 0.760 0.302 0.520


5.
The following is a DFT calculation (PBE) of an optimized crystal structure of RbLiAsAu.

Summary:
**Symmetry**: Amm2
**Mass density**: 4.54 g/cm3
**E**: -3.13 eV/atom
**Volume**: 133 Å³ per cell
**Formation enthalpy at 0 K**: -427 meV/atom

a b c (Å): 4.680 4.691 6.506
angles (deg): 111.13 90.00 90.00
Sites, in units of the cell vectors:
As 0.000 0.556 0.112
Au 0.500 0.487 0.975
Rb 0.500 0.208 0.416
Li 0.000 0.977 0.954


6.
The following is a DFT calculation (PBE) of an optimized crystal structure of CeSmPd14.

Summary:
**Symmetry**: P4/mmm
**Mass density**: 11.04 g/cm3
**E**: -5.61 eV/atom
**Volume**: 268 Å³ per cell
**Formation enthalpy at 0 K**: -401 meV/atom

a b c (Å): 5.839 5.839 7.855
angles (deg): 90.00 90.00 90.00
Sites, in units of the cell vectors:
Pd 0.628 0.122 0.241
Pd 0.123 0.123 0.241
Pd 0.628 0.122 0.759
Pd 0.122 0.628 0.241
Pd 0.875 0.375 0.500
Sm 0.375 0.375 0.500
Pd 0.627 0.627 0.241
Ce 0.875 0.875 0.500
Pd 0.375 0.375 0.000
Pd 0.875 0.375 0.000
Pd 0.875 0.875 0.000
Pd 0.122 0.628 0.759
Pd 0.123 0.123 0.759
Pd 0.627 0.627 0.759
Pd 0.375 0.875 0.000
Pd 0.375 0.875 0.500


Copy entry 4 word for word.
The following is a DFT calculation (PBE) of an optimized crystal structure of Nd8AsIr3Br4.

Summary:
**Symmetry**: R-3m
**Mass density**: 7.42 g/cm3
**E_form (uncorrected)**: -1141 meV per atom
**E**: -5.90 eV/atom
**Volume**: 476 Å³ per cell

a b c (Å): 8.459 9.098 8.459
angles (deg): 117.73 120.00 90.00
Sites, in units of the cell vectors:
Nd 0.240 0.698 0.958
As 0.000 0.500 0.000
Br 0.500 0.000 0.000
Nd 0.732 0.696 0.464
Nd 0.268 0.304 0.536
Br 0.500 0.000 0.500
Br 0.000 0.000 0.500
Nd 0.282 0.302 0.042
Ir 0.500 0.500 0.000
Nd 0.760 0.302 0.042
Br 0.000 0.000 0.000
Nd 0.240 0.698 0.480
Nd 0.718 0.698 0.958
Ir 0.500 0.500 0.500
Ir 0.000 0.500 0.500
Nd 0.760 0.302 0.520


- Among the records above, which one has the lowest volume?
  ScTlAg2


- Which value of volume does entry 5 give?
  133 Å³ per cell


- What is the volume in the first record?
  427 Å³ per cell